# 1
# GGA+U Co29Ge13O56, optimized geometry
data_Co29Ge13O56
_chemical_formula_sum 'Co29 Ge13 O56'
_space_group_name_H-M_alt 'P 1'
_space_group_IT_number 1
_cell_length_a 10.296
_cell_length_b 10.296
_cell_length_c 10.296
_cell_angle_alpha 99.61
_cell_angle_beta 99.61
_cell_angle_gamma 99.61
loop_
_space_group_symop_operation_xyz
'x,y,z'
loop_
_atom_site_label
_atom_site_type_symbol
_atom_site_fract_x
_atom_site_fract_y
_atom_site_fract_z
Co1 Co 0.803 0.088 0.732
Co2 Co 0.945 0.160 0.518
Co3 Co 0.659 0.017 0.943
Co4 Co 0.949 0.664 0.521
Co5 Co 0.664 0.521 0.949
Co6 Co 0.804 0.089 0.231
Co7 Co 0.875 0.375 0.377
Co8 Co 0.590 0.234 0.804
Co9 Co 0.750 0.750 0.750
Co10 Co 0.518 0.448 0.659
Co11 Co 0.375 0.377 0.875
Co12 Co 0.804 0.590 0.234
Co13 Co 0.943 0.659 0.017
Co14 Co 0.659 0.518 0.448
Co15 Co 0.303 0.089 0.232
Co16 Co 0.376 0.376 0.376
Co17 Co 0.732 0.803 0.088
Co18 Co 0.089 0.231 0.804
Co19 Co 0.160 0.518 0.945
Co20 Co 0.448 0.659 0.518
Co21 Co 0.521 0.949 0.664
Co22 Co 0.232 0.303 0.089
Co23 Co 0.089 0.232 0.303
Co24 Co 0.518 0.945 0.160
Co25 Co 0.234 0.804 0.590
Co26 Co 0.377 0.875 0.375
Co27 Co 0.088 0.732 0.803
Co28 Co 0.231 0.804 0.089
Co29 Co 0.017 0.943 0.659
Ge1 Ge 0.856 0.430 0.714
Ge2 Ge 0.321 0.036 0.893
Ge3 Ge 0.893 0.321 0.036
Ge4 Ge 0.605 0.177 0.462
Ge5 Ge 0.572 0.287 0.143
Ge6 Ge 0.430 0.714 0.856
Ge7 Ge 0.714 0.856 0.430
Ge8 Ge 0.287 0.143 0.572
Ge9 Ge 0.999 0.999 0.999
Ge10 Ge 0.462 0.605 0.177
Ge11 Ge 0.177 0.462 0.605
Ge12 Ge 0.143 0.572 0.287
Ge13 Ge 0.036 0.893 0.321
O1 O 0.984 0.053 0.841
O2 O 0.768 0.199 0.912
O3 O 0.983 0.053 0.339
O4 O 0.980 0.554 0.839
O5 O 0.911 0.269 0.697
O6 O 0.698 0.413 0.768
O7 O 0.840 0.482 0.556
O8 O 0.984 0.553 0.340
O9 O 0.553 0.340 0.984
O10 O 0.923 0.769 0.694
O11 O 0.910 0.267 0.195
O12 O 0.622 0.130 0.623
O13 O 0.765 0.197 0.412
O14 O 0.769 0.694 0.923
O15 O 0.479 0.057 0.841
O16 O 0.548 0.335 0.476
O17 O 0.614 0.614 0.614
O18 O 0.841 0.479 0.057
O19 O 0.481 0.054 0.339
O20 O 0.267 0.195 0.910
O21 O 0.912 0.768 0.199
O22 O 0.694 0.923 0.769
O23 O 0.695 0.410 0.269
O24 O 0.482 0.556 0.840
O25 O 0.839 0.980 0.554
O26 O 0.624 0.127 0.125
O27 O 0.554 0.839 0.980
O28 O 0.768 0.698 0.413
O29 O 0.410 0.269 0.695
O30 O 0.841 0.984 0.053
O31 O 0.127 0.125 0.624
O32 O 0.412 0.272 0.199
O33 O 0.269 0.697 0.911
O34 O 0.556 0.840 0.482
O35 O 0.697 0.911 0.269
O36 O 0.272 0.199 0.412
O37 O 0.413 0.768 0.698
O38 O 0.197 0.412 0.765
O39 O 0.053 0.339 0.983
O40 O 0.476 0.548 0.335
O41 O 0.623 0.622 0.130
O42 O 0.335 0.476 0.548
O43 O 0.339 0.481 0.054
O44 O 0.130 0.623 0.622
O45 O 0.412 0.765 0.197
O46 O 0.054 0.339 0.481
O47 O 0.199 0.912 0.768
O48 O 0.340 0.984 0.553
O49 O 0.199 0.412 0.272
O50 O 0.124 0.124 0.124
O51 O 0.269 0.695 0.410
O52 O 0.053 0.841 0.984
O53 O 0.125 0.624 0.127
O54 O 0.339 0.983 0.053
O55 O 0.057 0.841 0.479
O56 O 0.195 0.910 0.267
# raw total energy = -613.192 eV/cell
# symmetry = No. 146

---

# 2
# GGA+U Co2GeO3, optimized geometry
data_Co2GeO3
_chemical_formula_sum 'Co4 Ge2 O6'
_space_group_name_H-M_alt 'P 1'
_space_group_IT_number 1
_cell_length_a 4.653
_cell_length_b 6.126
_cell_length_c 5.464
_cell_angle_alpha 105.89
_cell_angle_beta 115.20
_cell_angle_gamma 90.00
loop_
_space_group_symop_operation_xyz
'x,y,z'
loop_
_atom_site_label
_atom_site_type_symbol
_atom_site_fract_x
_atom_site_fract_y
_atom_site_fract_z
Co1 Co 0.664 0.584 0.333
Co2 Co 0.669 0.084 0.333
Co3 Co 0.331 0.916 0.667
Co4 Co 0.336 0.416 0.667
Ge1 Ge 0.005 0.750 0.000
Ge2 Ge 0.995 0.250 0.000
O1 O 0.403 0.250 0.000
O2 O 0.597 0.750 0.000
O3 O 0.187 0.094 0.376
O4 O 0.811 0.406 0.624
O5 O 0.189 0.594 0.376
O6 O 0.813 0.906 0.624
# raw total energy = -69.698 eV/cell
# symmetry = No. 15

---

# 3
# GGA+U CoGeO2, optimized geometry
data_CoGeO2
_chemical_formula_sum 'Co1 Ge1 O2'
_space_group_name_H-M_alt 'P 1'
_space_group_IT_number 1
_cell_length_a 6.177
_cell_length_b 6.177
_cell_length_c 6.177
_cell_angle_alpha 29.70
_cell_angle_beta 29.70
_cell_angle_gamma 29.70
loop_
_space_group_symop_operation_xyz
'x,y,z'
loop_
_atom_site_label
_atom_site_type_symbol
_atom_site_fract_x
_atom_site_fract_y
_atom_site_fract_z
Ge1 Ge 0.500 0.500 0.500
Co1 Co 0.000 0.000 0.000
O1 O 0.897 0.897 0.897
O2 O 0.103 0.103 0.103
# raw total energy = -22.165 eV/cell
# symmetry = No. 166

---

# 4
# GGA+U CoGe3O, optimized geometry
data_CoGe3O
_chemical_formula_sum 'Co1 Ge3 O1'
_space_group_name_H-M_alt 'P 1'
_space_group_IT_number 1
_cell_length_a 4.398
_cell_length_b 4.398
_cell_length_c 4.398
_cell_angle_alpha 90.00
_cell_angle_beta 90.00
_cell_angle_gamma 90.00
loop_
_space_group_symop_operation_xyz
'x,y,z'
loop_
_atom_site_label
_atom_site_type_symbol
_atom_site_fract_x
_atom_site_fract_y
_atom_site_fract_z
Ge1 Ge 0.000 0.500 0.000
Ge2 Ge 0.000 0.000 0.500
Ge3 Ge 0.500 0.000 0.000
Co1 Co 0.000 0.000 0.000
O1 O 0.500 0.500 0.500
# raw total energy = -22.115 eV/cell
# symmetry = No. 221
# relative energy among the computed polymorphs = 43 meV/atom

---

# 5
# GGA+U Co10Ge3O16, optimized geometry
data_Co10Ge3O16
_chemical_formula_sum 'Co10 Ge3 O16'
_space_group_name_H-M_alt 'P 1'
_space_group_IT_number 1
_cell_length_a 10.336
_cell_length_b 10.336
_cell_length_c 10.336
_cell_angle_alpha 33.85
_cell_angle_beta 33.85
_cell_angle_gamma 33.85
loop_
_space_group_symop_operation_xyz
'x,y,z'
loop_
_atom_site_label
_atom_site_type_symbol
_atom_site_fract_x
_atom_site_fract_y
_atom_site_fract_z
O1 O 0.372 0.879 0.372
O2 O 0.879 0.372 0.372
O3 O 0.372 0.372 0.879
O4 O 0.628 0.121 0.628
O5 O 0.121 0.628 0.628
O6 O 0.628 0.628 0.121
O7 O 0.662 0.112 0.112
O8 O 0.112 0.112 0.662
O9 O 0.112 0.662 0.112
O10 O 0.888 0.888 0.338
O11 O 0.888 0.338 0.888
O12 O 0.338 0.888 0.888
O13 O 0.623 0.623 0.623
O14 O 0.127 0.127 0.127
O15 O 0.377 0.377 0.377
O16 O 0.873 0.873 0.873
Co1 Co 0.751 0.751 0.241
Co2 Co 0.751 0.241 0.751
Co3 Co 0.241 0.751 0.751
Co4 Co 0.759 0.249 0.249
Co5 Co 0.249 0.249 0.759
Co6 Co 0.249 0.759 0.249
Co7 Co 0.500 0.500 0.500
Co8 Co 0.000 0.500 0.500
Co9 Co 0.500 0.500 0.000
Co10 Co 0.500 0.000 0.500
Ge1 Ge 0.811 0.811 0.811
Ge2 Ge 0.189 0.189 0.189
Ge3 Ge 0.000 0.000 0.000
# raw total energy = -179.584 eV/cell
# symmetry = No. 166

---

# 6
# GGA+U CoGe3O, optimized geometry
data_CoGe3O
_chemical_formula_sum 'Co1 Ge3 O1'
_space_group_name_H-M_alt 'P 1'
_space_group_IT_number 1
_cell_length_a 4.355
_cell_length_b 4.355
_cell_length_c 4.355
_cell_angle_alpha 90.00
_cell_angle_beta 90.00
_cell_angle_gamma 90.00
loop_
_space_group_symop_operation_xyz
'x,y,z'
loop_
_atom_site_label
_atom_site_type_symbol
_atom_site_fract_x
_atom_site_fract_y
_atom_site_fract_z
Ge1 Ge 0.000 0.500 0.000
Ge2 Ge 0.000 0.000 0.500
Ge3 Ge 0.500 0.000 0.000
Co1 Co 0.500 0.500 0.500
O1 O 0.000 0.000 0.000
# raw total energy = -22.328 eV/cell
# symmetry = No. 221
# relative energy among the computed polymorphs = 0 meV/atom

---

# 7
# GGA+U CoGe2O, optimized geometry
data_CoGe2O
_chemical_formula_sum 'Co2 Ge4 O2'
_space_group_name_H-M_alt 'P 1'
_space_group_IT_number 1
_cell_length_a 5.301
_cell_length_b 5.301
_cell_length_c 5.869
_cell_angle_alpha 63.15
_cell_angle_beta 63.15
_cell_angle_gamma 90.00
loop_
_space_group_symop_operation_xyz
'x,y,z'
loop_
_atom_site_label
_atom_site_type_symbol
_atom_site_fract_x
_atom_site_fract_y
_atom_site_fract_z
Ge1 Ge 0.601 0.125 0.250
Ge2 Ge 0.149 0.625 0.250
Ge3 Ge 0.375 0.399 0.750
Ge4 Ge 0.875 0.851 0.750
Co1 Co 0.000 0.000 0.000
Co2 Co 0.750 0.250 0.500
O1 O 0.500 0.500 0.000
O2 O 0.250 0.750 0.500
# raw total energy = -38.388 eV/cell
# symmetry = No. 122

---

# 8
# GGA+U Co2GeO, optimized geometry
data_Co2GeO
_chemical_formula_sum 'Co2 Ge1 O1'
_space_group_name_H-M_alt 'P 1'
_space_group_IT_number 1
_cell_length_a 3.993
_cell_length_b 3.993
_cell_length_c 3.993
_cell_angle_alpha 60.00
_cell_angle_beta 60.00
_cell_angle_gamma 60.00
loop_
_space_group_symop_operation_xyz
'x,y,z'
loop_
_atom_site_label
_atom_site_type_symbol
_atom_site_fract_x
_atom_site_fract_y
_atom_site_fract_z
Ge1 Ge 0.500 0.500 0.500
Co1 Co 0.250 0.250 0.250
Co2 Co 0.750 0.750 0.750
O1 O 0.000 0.000 0.000
# raw total energy = -17.532 eV/cell
# symmetry = No. 225
# relative energy among the computed polymorphs = 622 meV/atom